Entry 1:
# YPaN

Crystalline YPaN at its relaxed geometry (PBE-GGA, Alexandria via LeMat-Bulk).

Summary:
symmetry = No. 62
formation energy without anion corrections = -628 meV per atom
ΔE to the lowest computed polymorph = 0.000 eV per atom

```
YPaN
1.0
3.3330 0.0000 0.0000
0.0000 8.8459 0.0000
0.0000 0.0000 9.3216
Pa N Y
4 4 4
Direct
0.2500 0.4915 0.3301
0.2500 0.0085 0.8301
0.7500 0.9915 0.1699
0.7500 0.5085 0.6699
0.2500 0.3768 0.5442
0.7500 0.8768 0.9558
0.2500 0.1232 0.0442
0.7500 0.6232 0.4558
0.7500 0.3192 0.0037
0.2500 0.6808 0.9963
0.2500 0.8192 0.4963
0.7500 0.1808 0.5037
```

Entry 2:
# CsThTe2Pd

Crystalline CsThTe2Pd at its relaxed geometry (PBE-GGA, Alexandria via LeMat-Bulk).

Summary:
symmetry = No. 13
formation energy without anion corrections = -936 meV per atom

```
CsThTe2Pd
1.0
-4.6558 0.7996 -0.2401
-0.0981 -3.4088 -9.4511
-1.3774 -6.8945 3.7505
Cs Te Pd Th
2 4 2 2
Direct
0.7691 0.5000 0.2500
0.2309 0.5000 0.7500
0.7228 0.2308 0.5400
0.7228 0.7692 0.9600
0.2772 0.7692 0.4600
0.2772 0.2308 0.0400
0.0000 0.0000 0.5000
0.0000 0.0000 0.0000
0.5048 0.0000 0.7500
0.4952 0.0000 0.2500
```

Entry 3:
# SrTcP2

Crystalline SrTcP2 at its relaxed geometry (PBE-GGA, Alexandria via LeMat-Bulk).

Summary:
symmetry = No. 25
ΔE to the lowest computed polymorph = 0.463 eV per atom

```
SrTcP2
1.0
-0.1764 -1.8052 2.5260
-0.3507 -3.0209 -2.1833
7.2396 -0.7951 -0.0627
Sr P Tc
1 2 1
Direct
0.0000 0.0000 0.4673
0.5000 0.5000 0.2333
0.0000 0.0000 0.8791
0.5000 0.5000 0.9203
```

Entry 4:
# Na17AlIn11

Crystalline Na17AlIn11 at its relaxed geometry (PBE-GGA, Alexandria via LeMat-Bulk).

Summary:
symmetry = No. 8
E_tot = -2.039 eV per atom

```
Na17AlIn11
1.0
9.6310 -0.0476 -3.3822
-4.7921 8.3543 -3.3822
-0.0093 -0.0160 10.1474
Al Na In
1 17 11
Direct
0.3577 0.3577 0.1825
0.6514 0.6514 0.6505
0.4073 0.4073 0.7182
0.0027 0.3127 0.5915
0.7187 0.4099 0.4070
0.9998 0.9998 0.0003
0.0000 0.3485 0.9999
0.5920 0.0005 0.3124
0.6875 0.2790 0.6868
0.3119 0.5897 0.0020
0.5897 0.3119 0.0020
0.6814 0.6814 0.2775
0.3127 0.0027 0.5915
0.4099 0.7187 0.4070
0.3485 0.0000 0.9999
0.2790 0.6875 0.6868
0.9981 0.9981 0.3482
0.0005 0.5920 0.3124
0.6311 0.0003 0.8143
0.1866 0.3713 0.3625
0.8142 0.6303 0.9998
0.8174 0.1866 0.1875
0.6303 0.8142 0.9998
0.1925 0.1925 0.8321
0.0025 0.8185 0.6318
0.1866 0.8174 0.1875
0.8185 0.0025 0.6318
0.3713 0.1866 0.3625
0.0003 0.6311 0.8143
```

Entry 5:
# KAcHgTe

Crystalline KAcHgTe at its relaxed geometry (PBE-GGA, Alexandria via LeMat-Bulk).

Summary:
symmetry = No. 216
formation energy without anion corrections = -608 meV per atom

```
KAcHgTe
1.0
-0.4231 5.4971 1.7414
-4.0669 3.4399 -2.2485
-4.4890 1.6690 3.2392
Ac K Hg Te
1 1 1 1
Direct
0.2500 0.2500 0.2500
0.7500 0.7500 0.7500
0.0000 0.0000 0.0000
0.5000 0.5000 0.5000
```

Entry 6:
# LiY2Ni9

Crystalline LiY2Ni9 at its relaxed geometry (PBE-GGA, Alexandria via LeMat-Bulk).

Summary:
symmetry = No. 166
E_tot = -5.787 eV per atom

```
LiY2Ni9
1.0
-4.9040 0.3129 -0.5246
-2.7433 -4.1097 -0.0833
-3.3730 -0.8764 7.7311
Ni Y Li
9 2 1
Direct
0.4182 0.4182 0.2437
0.5818 0.0801 0.7563
0.9199 0.4182 0.2437
0.4182 0.9199 0.2437
0.3329 0.3329 0.0012
0.5000 0.5000 0.5000
0.0801 0.5818 0.7563
0.6671 0.6671 0.9988
0.5818 0.5818 0.7563
0.1347 0.1347 0.5959
0.8653 0.8653 0.4041
0.0000 0.0000 0.0000
```